# 1
TaBe2Tl (PBE, optimized geometry); space group = I-4m2; mass density = 11.15 g/cm3; distance to the lowest polymorph of the same formula = 0.170 eV per atom
1.0
5.231 0.004 0.000
2.708 4.475 0.000
-3.969 -2.239 2.567
Tl Be Ta
1 2 1
Direct
0.750 0.250 0.500 Tl
0.000 0.000 0.000 Be
0.250 0.750 0.500 Be
0.500 0.500 0.000 Ta

# 2
KSnP2 (PBE, optimized geometry); space group = I-42d; mass density = 3.19 g/cm3
1.0
7.628 0.000 0.000
0.000 7.628 0.000
3.814 3.814 3.931
P K Sn
4 2 2
Direct
0.375 0.304 0.750 P
0.875 0.946 0.750 P
0.696 0.125 0.250 P
0.054 0.625 0.250 P
0.250 0.750 0.500 K
0.500 0.500 0.000 K
0.000 0.000 0.000 Sn
0.750 0.250 0.500 Sn

# 3
HfAl3Sn (PBE, optimized geometry); space group = Pm-3m; mass density = 4.38 g/cm3; distance to the lowest polymorph of the same formula = 0.000 eV per atom
1.0
5.233 0.000 0.000
0.000 5.233 0.000
0.000 0.000 5.233
Al Sn Hf
3 1 1
Direct
0.500 0.000 0.000 Al
0.000 0.000 0.500 Al
0.000 0.500 0.000 Al
0.500 0.500 0.500 Sn
0.000 0.000 0.000 Hf

We obtain total magnetization values of 0.0 1.6 0.0 μB per cell for the records listed above, in that order.
We obtain E_form values of 0.527 0.018 0.855 eV per atom for the records listed above, in that order.